(1)
A plane-wave DFT calculation with PBE was carried out for a relaxed ZrTlNO2 crystal.

Summary:
Density: 7.66 g/cm3
Symmetry: P4/mmm (123)
Raw formation energy: 0.23 eV per atom
Final energy: -0.206 Ha/atom

Unit cell a=4.172 b=4.172 c=4.251 alpha=90.00 beta=90.00 gamma=90.00
Element x y z (fractional)
Zr 0.000 0.000 0.000
Tl 0.500 0.500 0.500
N 0.500 0.500 0.000
O 0.000 0.500 0.500
O 0.500 0.000 0.500

---

(2)
A plane-wave DFT calculation with PBE was carried out for a relaxed ZrRhN3 crystal.

Summary:
Density: 6.92 g/cm3
Symmetry: Pm-3m (221)
Raw formation energy: 0.66 eV per atom
Final energy: -0.276 Ha/atom

Unit cell a=3.842 b=3.842 c=3.842 alpha=90.00 beta=90.00 gamma=90.00
Element x y z (fractional)
Zr 0.000 0.000 0.000
Rh 0.500 0.500 0.500
N 0.000 0.500 0.500
N 0.500 0.000 0.500
N 0.500 0.500 0.000

---

(3)
A plane-wave DFT calculation with PBE was carried out for a relaxed Ba2Sm2Mg15 crystal.

Summary:
Density: 2.90 g/cm3
Symmetry: R-3m (166)
ΔE_f: -0.04 eV per atom
Final energy: -0.073 Ha/atom

Unit cell a=8.194 b=8.194 c=8.194 alpha=82.88 beta=82.88 gamma=82.88
Element x y z (fractional)
Ba 0.160 0.160 0.160
Ba 0.840 0.840 0.840
Sm 0.405 0.405 0.405
Sm 0.595 0.595 0.595
Mg 0.000 0.500 0.500
Mg 0.149 0.149 0.651
Mg 0.149 0.651 0.149
Mg 0.210 0.500 0.790
Mg 0.210 0.790 0.500
Mg 0.349 0.851 0.851
Mg 0.500 0.000 0.500
Mg 0.500 0.210 0.790
Mg 0.500 0.500 0.000
Mg 0.500 0.790 0.210
Mg 0.651 0.149 0.149
Mg 0.790 0.210 0.500
Mg 0.790 0.500 0.210
Mg 0.851 0.349 0.851
Mg 0.851 0.851 0.349

---

Question: Look up the density of the third one.
Answer: 2.90 g/cm3

---

Question: Which of these has the highest final energy?
Answer: Ba2Sm2Mg15

---

Question: Which of these has the highest density?
Answer: ZrTlNO2